Record 1
## PmGdYAg (PBE)

Data for a geometry-optimized PmGdYAg structure.

abc: 5.400 5.400 5.400
angles: 60.00 60.00 60.00
Last column: magnetic moment on the atom in μB.
Fractional positions:
Ag 0.000 0.000 0.000  -0.03
Gd 0.250 0.250 0.250  -7.42
Y 0.750 0.750 0.750  -0.36
Pm 0.500 0.500 0.500  -0.58

Output
Formation enthalpy at 0 K = 0.080 eV per atom
Energy = -27.8 eV for the cell shown
Space group = F-43m

Record 2
## TaCr2InPt (PBE)

Data for a geometry-optimized TaCr2InPt structure.

abc: 4.575 4.879 4.575
angles: 90.00 90.00 90.00
Fractional positions:
Cr 0.500 0.000 0.000
Cr 0.000 0.000 0.500
Pt 0.000 0.000 0.000
In 0.000 0.500 0.000
Ta 0.500 0.500 0.500

Output
Formation enthalpy at 0 K = 1.574 eV per atom
Energy = -32.0 eV for the cell shown
Space group = P4/mmm

Record 3
## Ce2MgGe3Au4 (PBE)

Data for a geometry-optimized Ce2MgGe3Au4 structure.

abc: 4.356 4.356 11.158
angles: 90.00 90.00 90.00
Last column: magnetic moment on the atom in μB.
Fractional positions:
Au 0.500 0.000 0.639  -0.01
Au 0.000 0.500 0.361  -0.01
Au 0.000 0.000 0.000  -0.01
Au 0.500 0.500 0.000  -0.01
Ge 0.000 0.500 0.137  -0.01
Ge 0.500 0.000 0.863  -0.01
Ge 0.000 0.000 0.500  -0.01
Ce 0.000 0.500 0.769  0.73
Ce 0.500 0.000 0.231  0.73
Mg 0.500 0.500 0.500  0.00

Output
Formation enthalpy at 0 K = -0.557 eV per atom
Energy = -46.0 eV for the cell shown
Space group = P-4m2

Record 4
## Cu3Mo (PBE)

Data for a geometry-optimized Cu3Mo structure.

abc: 4.789 4.789 4.789
angles: 90.00 90.00 90.00
Last column: magnetic moment on the atom in μB.
Fractional positions:
Cu 0.500 0.000 0.750  0.19
Cu 0.000 0.250 0.500  0.19
Cu 0.250 0.500 0.000  0.19
Cu 0.500 0.000 0.250  0.19
Cu 0.000 0.750 0.500  0.19
Cu 0.750 0.500 0.000  0.19
Mo 0.000 0.000 0.000  2.01
Mo 0.500 0.500 0.500  2.01

Output
Formation enthalpy at 0 K = 0.525 eV per atom
Energy = -42.0 eV for the cell shown
Space group = Pm-3n